No. 1
# AgBiPN2 PBE-GGA relaxed
data_AgBiPN2
_chemical_formula_sum 'Ag1 Bi1 P1 N2'
_cell_length_a 3.746
_cell_length_b 3.746
_cell_length_c 5.828
_cell_angle_alpha 90.00
_cell_angle_beta 90.00
_cell_angle_gamma 90.00
_space_group_name_H-M_alt 'P 4/m m m'
_space_group_IT_number 123
_space_group_name_Hall '-P 4 2'
loop_
_atom_site_label
_atom_site_type_symbol
_atom_site_fract_x
_atom_site_fract_y
_atom_site_fract_z
Ag1 Ag 0.000 0.000 0.000
Bi1 Bi 0.500 0.500 0.000
P1 P 0.500 0.500 0.500
N1 N 0.000 0.500 0.500
# * raw total energy: -4.5069 eV per atom

---

No. 2
# Cu2HgW PBE-GGA relaxed
data_Cu2HgW
_chemical_formula_sum 'Cu4 Hg2 W2'
_cell_length_a 2.715
_cell_length_b 5.007
_cell_length_c 9.481
_cell_angle_alpha 90.00
_cell_angle_beta 90.00
_cell_angle_gamma 90.00
_space_group_name_H-M_alt 'I m m m'
_space_group_IT_number 71
_space_group_name_Hall '-I 2 2'
loop_
_atom_site_label
_atom_site_type_symbol
_atom_site_fract_x
_atom_site_fract_y
_atom_site_fract_z
Cu1 Cu 0.000 0.000 0.241
Hg1 Hg 0.000 0.500 0.000
W1 W 0.000 0.500 0.500
# * raw total energy: -4.7140 eV per atom
# * calculated formation energy: 0.648 eV/atom

---

No. 3
# Tm4TePd PBE-GGA relaxed
data_Tm4TePd
_chemical_formula_sum 'Tm16 Te4 Pd4'
_cell_length_a 15.145
_cell_length_b 6.827
_cell_length_c 6.980
_cell_angle_alpha 90.00
_cell_angle_beta 105.82
_cell_angle_gamma 90.00
_space_group_name_H-M_alt 'C 1 2/c 1'
_space_group_IT_number 15
loop_
_space_group_symop_operation_xyz
'x,y,z'
'-x,-y,-z'
'-x,y,-z+1/2'
'x,-y,z+1/2'
'x+1/2,y+1/2,z'
'-x+1/2,-y+1/2,-z'
'-x+1/2,y+1/2,-z+1/2'
'x+1/2,-y+1/2,z+1/2'
loop_
_atom_site_label
_atom_site_type_symbol
_atom_site_fract_x
_atom_site_fract_y
_atom_site_fract_z
Tm1 Tm 0.093 0.072 0.463
Tm2 Tm 0.163 0.423 0.142
Te1 Te 0.000 0.327 0.750
Pd1 Pd 0.250 0.250 0.500
# * raw total energy: -4.8943 eV per atom
# * E above lowest polymorph: 1.323 eV/f.u.

---

> What is the raw total energy in the first record?

-4.5069 eV per atom